# Nd3Tm4In4

An optimized crystal structure of Nd3Tm4In4 (PBE-GGA, the Alexandria database). Values from VASP.

Summary:
Space group: Immm, No. 71
E, eV for the cell shown: -46.185

```
&SYSTEM
  ibrav = 0, nat = 11, ntyp = 3
/
ATOMIC_SPECIES
Nd 144.24 Nd.upf
Tm 168.93 Tm.upf
In 114.82 In.upf
CELL_PARAMETERS angstrom
-2.6297 3.5747 8.6978
2.6297 -3.5747 8.6978
2.6297 3.5747 -8.6978
ATOMIC_POSITIONS angstrom
Nd 0.0000 0.0000 0.0000
Nd 2.6297 0.0000 6.8423
Nd 0.0000 3.5747 1.8555
Tm 2.6297 1.6504 -3.1027
Tm 2.6297 1.6504 3.1027
Tm 0.0000 1.9243 5.5950
Tm 0.0000 1.9243 11.8005
In 0.0000 0.0000 3.1692
In 2.6297 2.0815 0.0000
In 0.0000 1.4932 8.6978
In 0.0000 0.0000 14.2263
```


# Sc3CuGe2

An optimized crystal structure of Sc3CuGe2 (PBE-GGA, the Alexandria database). Values from VASP.

Summary:
Space group: Pnma, No. 62
E, eV for the cell shown: -145.894

```
&SYSTEM
  ibrav = 0, nat = 24, ntyp = 3
/
ATOMIC_SPECIES
Sc 44.96 Sc.upf
Cu 63.55 Cu.upf
Ge 72.64 Ge.upf
CELL_PARAMETERS angstrom
10.7758 0.0000 0.0000
0.0000 4.0475 0.0000
0.0000 0.0000 10.5124
ATOMIC_POSITIONS angstrom
Sc 0.5601 1.0119 1.2959
Sc 1.3992 3.0356 5.9650
Sc 2.3141 1.0119 8.4560
Sc 3.0738 3.0356 3.1998
Sc 3.9888 1.0119 0.7088
Sc 4.8279 3.0356 6.5521
Sc 5.9480 1.0119 3.9603
Sc 6.7871 3.0356 9.8036
Sc 7.7020 1.0119 7.3127
Sc 8.4617 3.0356 2.0565
Sc 9.3767 1.0119 4.5474
Sc 10.2158 3.0356 9.2165
Cu 1.4195 1.0119 3.8579
Cu 3.9684 3.0356 9.1141
Cu 6.8075 1.0119 1.3983
Cu 9.3563 3.0356 6.6545
Ge 0.1444 3.0356 3.3141
Ge 2.0150 3.0356 0.0691
Ge 3.3729 1.0119 5.3253
Ge 5.2435 1.0119 8.5703
Ge 5.5323 3.0356 1.9421
Ge 7.4029 3.0356 5.1871
Ge 8.7608 1.0119 10.4433
Ge 10.6315 1.0119 7.1983
```